1.
## SrMn2Ru (PBE)

Data for an optimized crystal structure of SrMn2Ru.

polymorph energy (0 for the lowest one) = 0.8286 eV per atom
symmetry = Fm-3m
ΔE_f = 1.12 eV per atom
magnetic moment = 0.0 Bohr magnetons per cell

abc: 4.4585 4.4585 4.4585
angles: 60.00 60.00 60.00
Fractional coordinates of all 4 atoms:
Ru  0.5000  0.5000  0.5000
Mn  0.7500  0.7500  0.7500
Sr  0.0000  0.0000  0.0000
Mn  0.2500  0.2500  0.2500



2.
## SrMn2Ru (PBE)

Data for an optimized crystal structure of SrMn2Ru.

polymorph energy (0 for the lowest one) = 0.3193 eV per atom
symmetry = Imm2
ΔE_f = 0.61 eV per atom
magnetic moment = 8.2 Bohr magnetons per cell

abc: 6.9602 6.9602 6.9602
angles: 153.26 144.26 45.19
Site moments in Bohr magnetons follow the coordinates.
Fractional coordinates of all 4 atoms:
Mn  0.6569  0.1569  0.5000  3.50
Mn  0.0251  0.0251  0.0000  3.75
Ru  0.5133  0.5133  0.0000  0.31
Sr  0.3046  0.8046  0.5000  0.04



3.
## Sr2MnRu (PBE)

Data for an optimized crystal structure of Sr2MnRu.

symmetry = I-4m2
ΔE_f = 0.68 eV per atom
magnetic moment = 4.7 Bohr magnetons per cell

abc: 5.1634 5.1634 5.1634
angles: 120.38 120.38 89.34
Site moments in Bohr magnetons follow the coordinates.
Fractional coordinates of all 4 atoms:
Sr  0.2500  0.7500  0.5000  -0.01
Sr  0.0000  0.0000  0.0000  -0.02
Mn  0.5000  0.5000  0.0000  3.94
Ru  0.7500  0.2500  0.5000  0.59



4.
## Sr2MnRu (PBE)

Data for an optimized crystal structure of Sr2MnRu.

symmetry = Imm2
ΔE_f = 0.39 eV per atom
magnetic moment = 4.2 Bohr magnetons per cell

abc: 6.4088 6.4088 6.4088
angles: 144.12 132.94 60.56
Site moments in Bohr magnetons follow the coordinates.
Fractional coordinates of all 4 atoms:
Mn  0.5653  0.5653  0.0000  3.42
Ru  0.6849  0.1849  0.5000  0.25
Sr  0.2657  0.7657  0.5000  0.02
Sr  0.9841  0.9841  0.0000  0.00



5.
## SrMnRu2 (PBE)

Data for an optimized crystal structure of SrMnRu2.

polymorph energy (0 for the lowest one) = 0.4980 eV per atom
symmetry = P4/mmm
ΔE_f = 0.81 eV per atom
magnetic moment = 2.9 Bohr magnetons per cell

abc: 4.6265 4.6265 3.3229
angles: 90.00 90.00 90.00
Site moments in Bohr magnetons follow the coordinates.
Fractional coordinates of all 4 atoms:
Mn  0.0000  0.5000  0.5000  3.61
Ru  0.0000  0.0000  0.0000  -0.42
Ru  0.5000  0.5000  0.0000  -0.42
Sr  0.5000  0.0000  0.5000  0.00



6.
## SrMn2Ru (PBE)

Data for an optimized crystal structure of SrMn2Ru.

polymorph energy (0 for the lowest one) = 0.5087 eV per atom
symmetry = F-43m
ΔE_f = 0.80 eV per atom
magnetic moment = 8.2 Bohr magnetons per cell

abc: 4.7597 4.7597 4.7597
angles: 120.04 120.04 89.94
Site moments in Bohr magnetons follow the coordinates.
Fractional coordinates of all 4 atoms:
Sr  0.7500  0.2500  0.5000  -0.04
Ru  0.5000  0.5000  0.0000  0.54
Mn  0.2500  0.7500  0.5000  3.70
Mn  0.0000  0.0000  0.0000  3.75



7.
## SrMn2Ru (PBE)

Data for an optimized crystal structure of SrMn2Ru.

polymorph energy (0 for the lowest one) = 0.4950 eV per atom
symmetry = I4_1/amd
ΔE_f = 0.79 eV per atom
magnetic moment = 11.4 Bohr magnetons per cell

abc: 4.9833 4.9833 8.7411
angles: 73.44 73.44 90.00
Site moments in Bohr magnetons follow the coordinates.
Fractional coordinates of all 8 atoms:
Ru  0.0000  0.0000  0.0000  -0.18
Mn  0.8750  0.6250  0.2500  2.71
Sr  0.5000  0.5000  0.0000  -0.01
Sr  0.2500  0.7500  0.5000  -0.01
Ru  0.7500  0.2500  0.5000  -0.18
Mn  0.8750  0.1250  0.2500  2.76
Mn  0.8750  0.1250  0.7500  2.77
Mn  0.3750  0.1250  0.7500  2.82



8.
## SrMn2Ru (PBE)

Data for an optimized crystal structure of SrMn2Ru.

polymorph energy (0 for the lowest one) = 0.0000 eV per atom
symmetry = Cm
ΔE_f = 0.29 eV per atom
magnetic moment = 1.4 Bohr magnetons per cell

abc: 4.2368 4.2368 6.1348
angles: 69.88 69.88 59.96
Site moments in Bohr magnetons follow the coordinates.
Fractional coordinates of all 4 atoms:
Sr  0.2460  0.2460  0.2609  0.05
Mn  0.7593  0.7593  0.7219  -2.71
Ru  0.4433  0.4433  0.6706  0.25
Mn  0.0514  0.0514  0.8466  3.48



9.
## SrTaMn2Ru (PBE)

Data for an optimized crystal structure of SrTaMn2Ru.

symmetry = P4/mmm
ΔE_f = 2.91 eV per atom
magnetic moment = 0.5 Bohr magnetons per cell

abc: 4.2981 4.9057 4.2981
angles: 90.00 90.00 90.00
Site moments in Bohr magnetons follow the coordinates.
Fractional coordinates of all 5 atoms:
Mn  0.5000  0.0000  0.0000  0.04
Mn  0.0000  0.0000  0.5000  0.02
Ta  0.0000  0.5000  0.0000  -0.16
Sr  0.0000  0.0000  0.0000  -0.02
Ru  0.5000  0.5000  0.5000  0.69



10.
## SrMnTcRu2 (PBE)

Data for an optimized crystal structure of SrMnTcRu2.

symmetry = P4/mmm
ΔE_f = 1.53 eV per atom
magnetic moment = 3.4 Bohr magnetons per cell

abc: 4.4671 4.9676 4.4671
angles: 90.00 90.00 90.00
Site moments in Bohr magnetons follow the coordinates.
Fractional coordinates of all 5 atoms:
Sr  0.0000  0.5000  0.0000  0.01
Ru  0.5000  0.0000  0.0000  0.08
Mn  0.0000  0.0000  0.0000  0.36
Tc  0.5000  0.5000  0.5000  2.65
Ru  0.0000  0.0000  0.5000  -0.04



11.
## SrMnTe2Ru (PBE)

Data for an optimized crystal structure of SrMnTe2Ru.

energy relative to the elements, uncorrected = 0.933 eV/atom
symmetry = P4/mmm
magnetic moment = 0.7 Bohr magnetons per cell

abc: 5.1667 5.4276 5.1667
angles: 90.00 90.00 90.00
Site moments in Bohr magnetons follow the coordinates.
Fractional coordinates of all 5 atoms:
Sr  0.0000  0.5000  0.0000  0.01
Mn  0.5000  0.5000  0.5000  0.37
Te  0.0000  0.0000  0.5000  0.03
Te  0.5000  0.0000  0.0000  0.04
Ru  0.0000  0.0000  0.0000  0.09



12.
## SrMn2VRu (PBE)

Data for an optimized crystal structure of SrMn2VRu.

symmetry = P4/mmm
ΔE_f = 2.28 eV per atom
magnetic moment = 4.5 Bohr magnetons per cell

abc: 4.9432 4.7133 4.9432
angles: 90.00 90.00 90.00
Site moments in Bohr magnetons follow the coordinates.
Fractional coordinates of all 5 atoms:
Mn  0.5000  0.0000  0.0000  3.86
Ru  0.0000  0.5000  0.0000  0.51
V  0.5000  0.5000  0.5000  -2.81
Mn  0.0000  0.0000  0.5000  3.52
Sr  0.0000  0.0000  0.0000  -0.05



13.
## TaMn2Ru (PBE)

Data for an optimized crystal structure of TaMn2Ru.

polymorph energy (0 for the lowest one) = 0.1305 eV per atom
symmetry = I4/mmm
ΔE_f = 0.02 eV per atom
magnetic moment = 4.3 Bohr magnetons per cell

abc: 4.8561 4.8561 4.8561
angles: 134.96 134.96 65.60
Site moments in Bohr magnetons follow the coordinates.
Fractional coordinates of all 4 atoms:
Ru  0.2500  0.7500  0.5000  -0.04
Ta  0.7500  0.2500  0.5000  -0.14
Mn  0.0000  0.0000  0.0000  2.18
Mn  0.5000  0.5000  0.0000  2.18



14.
## TaMnRu (PBE)

Data for an optimized crystal structure of TaMnRu.

polymorph energy (0 for the lowest one) = 0.6568 eV per atom
symmetry = F-43m
ΔE_f = 0.52 eV per atom
magnetic moment = 3.0 Bohr magnetons per cell

abc: 4.2248 4.2248 4.2248
angles: 60.00 60.00 60.00
Site moments in Bohr magnetons follow the coordinates.
Fractional coordinates of all 3 atoms:
Ta  0.7500  0.7500  0.7500  -0.37
Ru  0.5000  0.5000  0.5000  0.38
Mn  0.0000  0.0000  0.0000  2.94



15.
## Ta2MnRu (PBE)

Data for an optimized crystal structure of Ta2MnRu.

symmetry = Immm
ΔE_f = -0.09 eV per atom
magnetic moment = 2.2 Bohr magnetons per cell

abc: 5.1101 5.1101 5.1101
angles: 143.08 127.60 65.82
Site moments in Bohr magnetons follow the coordinates.
Fractional coordinates of all 4 atoms:
Ta  0.9990  0.9990  0.0000  -0.18
Mn  0.2500  0.7500  0.5000  2.43
Ru  0.7500  0.2500  0.5000  0.17
Ta  0.5010  0.5010  0.0000  -0.18



16.
## TaMn2Ru (PBE)

Data for an optimized crystal structure of TaMn2Ru.

polymorph energy (0 for the lowest one) = 0.0899 eV per atom
symmetry = P4/mmm
ΔE_f = -0.02 eV per atom
magnetic moment = 4.2 Bohr magnetons per cell

abc: 4.2020 4.2020 3.1639
angles: 90.00 90.00 90.00
Site moments in Bohr magnetons follow the coordinates.
Fractional coordinates of all 4 atoms:
Mn  0.0000  0.0000  0.0000  2.20
Mn  0.5000  0.5000  0.0000  2.20
Ta  0.0000  0.5000  0.5000  -0.55
Ru  0.5000  0.0000  0.5000  0.42



17.
## TaMn2Ru (PBE)

Data for an optimized crystal structure of TaMn2Ru.

polymorph energy (0 for the lowest one) = 0.1428 eV per atom
symmetry = Fm-3m
ΔE_f = 0.03 eV per atom
magnetic moment = 3.9 Bohr magnetons per cell

abc: 4.2902 4.2902 4.2902
angles: 60.00 60.00 60.00
Site moments in Bohr magnetons follow the coordinates.
Fractional coordinates of all 4 atoms:
Ru  0.0000  0.0000  0.0000  0.38
Ta  0.5000  0.5000  0.5000  -0.57
Mn  0.2500  0.2500  0.2500  2.12
Mn  0.7500  0.7500  0.7500  2.12



18.
## Ta2MnRu (PBE)

Data for an optimized crystal structure of Ta2MnRu.

symmetry = P4/mmm
ΔE_f = -0.30 eV per atom
magnetic moment = 0.2 Bohr magnetons per cell

abc: 3.0934 3.0934 6.3451
angles: 90.00 90.00 90.00
Site moments in Bohr magnetons follow the coordinates.
Fractional coordinates of all 4 atoms:
Mn  0.5000  0.5000  0.2500  0.26
Ta  0.0000  0.0000  0.4869  -0.04
Ru  0.5000  0.5000  0.7500  0.04
Ta  0.0000  0.0000  0.0131  -0.04



19.
## Ta2MnRu (PBE)

Data for an optimized crystal structure of Ta2MnRu.

symmetry = Pm
ΔE_f = -0.07 eV per atom
magnetic moment = 1.4 Bohr magnetons per cell

abc: 4.4320 2.8438 5.0477
angles: 78.82 90.00 90.00
Site moments in Bohr magnetons follow the coordinates.
Fractional coordinates of all 4 atoms:
Ta  0.0000  0.9954  0.9808  -0.17
Ru  0.5000  0.7348  0.7677  0.16
Mn  0.0000  0.5095  0.4744  1.65
Ta  0.5000  0.2603  0.2770  -0.19



20.
## Ta3MnRu2 (PBE)

Data for an optimized crystal structure of Ta3MnRu2.

polymorph energy (0 for the lowest one) = 0.0110 eV per atom
symmetry = Cmmm
ΔE_f = -0.29 eV per atom
magnetic moment = 1.0 Bohr magnetons per cell

abc: 4.3863 6.9423 6.4417
angles: 90.00 90.00 71.56
Site moments in Bohr magnetons follow the coordinates.
Fractional coordinates of all 12 atoms:
Ru  0.6659  0.6684  0.5000  0.07
Ta  0.5000  0.0000  0.7564  -0.04
Ru  0.0000  0.0000  0.5000  -0.01
Mn  0.6657  0.6690  0.0000  0.58
Ru  0.3341  0.3316  0.5000  0.07
Mn  0.3343  0.3310  0.0000  0.58
Ta  0.5000  0.0000  0.2436  -0.04
Ta  0.8300  0.3397  0.2380  -0.05
Ta  0.1700  0.6603  0.2380  -0.05
Ta  0.8300  0.3397  0.7620  -0.05
Ru  0.0000  0.0000  0.0000  0.10
Ta  0.1700  0.6603  0.7620  -0.05



21.
## Ta5Mn4Ru (PBE)

Data for an optimized crystal structure of Ta5Mn4Ru.

symmetry = P4/mmm
ΔE_f = -0.27 eV per atom
magnetic moment = 0.0 Bohr magnetons per cell

abc: 3.0813 3.0813 15.4586
angles: 90.00 90.00 90.00
Fractional coordinates of all 10 atoms:
Mn  0.0000  0.0000  0.2028
Mn  0.0000  0.0000  0.5987
Ta  0.5000  0.5000  0.6964
Mn  0.0000  0.0000  0.4013
Ta  0.5000  0.5000  0.1076
Ru  0.0000  0.0000  0.0000
Ta  0.5000  0.5000  0.8924
Ta  0.5000  0.5000  0.3036
Mn  0.0000  0.0000  0.7972
Ta  0.5000  0.5000  0.5000



22.
## TaMn2Ru (PBE)

Data for an optimized crystal structure of TaMn2Ru.

polymorph energy (0 for the lowest one) = 0.1895 eV per atom
symmetry = C2/m
ΔE_f = 0.07 eV per atom
magnetic moment = 3.8 Bohr magnetons per cell

abc: 4.8750 4.8750 2.7327
angles: 81.03 81.03 115.20
Site moments in Bohr magnetons follow the coordinates.
Fractional coordinates of all 4 atoms:
Mn  0.0000  0.0000  0.0000  2.08
Mn  0.5000  0.5000  0.0000  2.08
Ru  0.5000  0.0000  0.5000  0.03
Ta  0.0000  0.5000  0.5000  -0.34



23.
## Ta5MnRu6 (PBE)

Data for an optimized crystal structure of Ta5MnRu6.

symmetry = Immm
ΔE_f = -0.32 eV per atom
magnetic moment = 4.7 Bohr magnetons per cell

abc: 4.3972 6.4987 7.6762
angles: 115.04 106.64 90.00
Site moments in Bohr magnetons follow the coordinates.
Fractional coordinates of all 12 atoms:
Mn  0.0000  0.0000  0.0000  3.71
Ta  0.3382  0.8382  0.6763  0.00
Ru  0.1688  0.9194  0.3377  0.10
Ru  0.5000  0.7514  0.0000  0.22
Ta  0.3359  0.3359  0.6717  -0.02
Ta  0.6641  0.6641  0.3283  -0.02
Ru  0.1688  0.4183  0.3377  0.10
Ru  0.8312  0.0806  0.6623  0.10
Ta  0.6618  0.1618  0.3237  0.00
Ta  0.0000  0.5000  0.0000  0.03
Ru  0.5000  0.2486  0.0000  0.22
Ru  0.8312  0.5817  0.6623  0.10



24.
## TaMn2Ru (PBE)

Data for an optimized crystal structure of TaMn2Ru.

polymorph energy (0 for the lowest one) = 0.0291 eV per atom
symmetry = F-43m
ΔE_f = -0.09 eV per atom
magnetic moment = 2.9 Bohr magnetons per cell

abc: 4.3077 4.3077 4.3077
angles: 60.00 60.00 60.00
Site moments in Bohr magnetons follow the coordinates.
Fractional coordinates of all 4 atoms:
Ta  0.7500  0.7500  0.7500  0.12
Mn  0.0000  0.0000  0.0000  -0.74
Mn  0.2500  0.2500  0.2500  3.19
Ru  0.5000  0.5000  0.5000  0.24



25.
## TaMn2Ru (PBE)

Data for an optimized crystal structure of TaMn2Ru.

polymorph energy (0 for the lowest one) = 0.1967 eV per atom
symmetry = P2/m
ΔE_f = 0.08 eV per atom
magnetic moment = 4.0 Bohr magnetons per cell

abc: 4.0030 2.7374 5.3832
angles: 72.73 90.00 90.00
Site moments in Bohr magnetons follow the coordinates.
Fractional coordinates of all 4 atoms:
Mn  0.0000  0.9929  0.0118  2.12
Ta  0.5000  0.7500  0.7500  -0.24
Mn  0.0000  0.5071  0.4882  2.12
Ru  0.5000  0.2500  0.2500  -0.04



26.
## Ta2MnRu3 (PBE)

Data for an optimized crystal structure of Ta2MnRu3.

symmetry = P4/mmm
ΔE_f = -0.30 eV per atom
magnetic moment = 4.5 Bohr magnetons per cell

abc: 3.1739 3.1739 9.1961
angles: 90.00 90.00 90.00
Site moments in Bohr magnetons follow the coordinates.
Fractional coordinates of all 6 atoms:
Mn  0.5000  0.5000  0.5000  3.69
Ta  0.5000  0.5000  0.8212  0.01
Ru  0.0000  0.0000  0.0000  0.00
Ru  0.0000  0.0000  0.6651  0.31
Ru  0.0000  0.0000  0.3349  0.31
Ta  0.5000  0.5000  0.1788  0.01



27.
## TaMn2Ru (PBE)

Data for an optimized crystal structure of TaMn2Ru.

polymorph energy (0 for the lowest one) = 0.1888 eV per atom
symmetry = Pm
ΔE_f = 0.07 eV per atom
magnetic moment = 0.1 Bohr magnetons per cell

abc: 3.9952 2.7457 5.1456
angles: 75.63 90.00 90.00
Site moments in Bohr magnetons follow the coordinates.
Fractional coordinates of all 4 atoms:
Ta  0.5000  0.7831  0.7641  0.00
Mn  0.5000  0.0877  0.2420  0.96
Mn  0.0000  0.1653  0.0262  -0.89
Ru  0.0000  0.4640  0.4677  -0.01



28.
## Ta4MnRu (PBE)

Data for an optimized crystal structure of Ta4MnRu.

polymorph energy (0 for the lowest one) = 0.0000 eV per atom
symmetry = C2/m
ΔE_f = 0.23 eV per atom
magnetic moment = 0.0 Bohr magnetons per cell

abc: 4.2709 4.2717 6.1352
angles: 89.90 89.95 90.00
Fractional coordinates of all 6 atoms:
Ru  0.5013  0.4973  0.9981
Mn  0.0013  0.9973  0.4981
Ta  0.0011  0.4970  0.2579
Ta  0.5012  0.9968  0.2579
Ta  0.5014  0.9978  0.7384
Ta  0.0015  0.4976  0.7384



29.
## Ta2MnRu (PBE)

Data for an optimized crystal structure of Ta2MnRu.

symmetry = P2/m
ΔE_f = -0.07 eV per atom
magnetic moment = 1.8 Bohr magnetons per cell

abc: 4.1576 2.8450 5.3977
angles: 78.06 90.00 90.00
Site moments in Bohr magnetons follow the coordinates.
Fractional coordinates of all 4 atoms:
Ta  0.0000  0.4978  0.4968  -0.16
Ta  0.0000  0.0022  0.0032  -0.16
Ru  0.5000  0.7500  0.7500  0.22
Mn  0.5000  0.2500  0.2500  2.00